A geometry-optimized InSiPd structure. Source: Alexandria via LeMat-Bulk, functional GGA-PBE.

Computed properties:
The calculation puts the total DFT energy (no corrections) at -4.698 eV/atom. As for the symmetry: No. 139. The value obtained for the density of states at the Fermi level is 1.1 states/eV/f.u. The calculation puts the total magnetization at 0.0 μB/cell. For the calculated volume, the calculation gives 19.2 Å³ per atom.

abc: 10.9865 10.9865 10.9865
angles: 162.86 162.86 24.33
Fractional positions:
1 In 0.0704 0.0704 0.0000
2 In 0.9296 0.9296 0.0000
3 Si 0.2134 0.2134 0.0000
4 Si 0.7866 0.7866 0.0000
5 Pd 0.3333 0.3333 0.0000
6 Pd 0.6667 0.6667 0.0000



A geometry-optimized TaSb2RhI structure. Source: Alexandria via LeMat-Bulk, functional GGA-PBE.

Computed properties:
The calculation puts the total DFT energy (no corrections) at -4.741 eV/atom. As for the symmetry: No. 123. The value obtained for the density of states at the Fermi level is 8.2 states/eV/f.u. The calculation puts the total magnetization at 0.0 μB/cell. For the calculated volume, the calculation gives 30.6 Å³ per atom.

abc: 5.3378 5.3378 5.3638
angles: 90.00 90.00 90.00
Fractional positions:
1 Ta 0.0000 0.0000 0.0000
2 Sb 0.0000 0.5000 0.0000
3 Sb 0.5000 0.0000 0.0000
4 Rh 0.5000 0.5000 0.5000
5 I 0.0000 0.0000 0.5000



A geometry-optimized Sm2Ho5Tl structure. Source: Alexandria via LeMat-Bulk, functional GGA-PBE.

Computed properties:
The formation energy is -0.0569 eV/atom. The calculation puts the total DFT energy (no corrections) at -4.394 eV/atom. As for the symmetry: No. 55. The value obtained for the density of states at the Fermi level is 10.0 states/eV/f.u. The calculation puts the total magnetization at 0.0 μB/cell. For the calculated volume, the calculation gives 30.5 Å³ per atom.

abc: 7.0101 14.0496 4.9516
angles: 90.00 90.00 90.00
Fractional positions:
1 Sm 0.2454 0.1281 0.0000
2 Sm 0.2546 0.6281 0.0000
3 Sm 0.7454 0.3719 0.0000
4 Sm 0.7546 0.8719 0.0000
5 Ho 0.0000 0.0000 0.5000
6 Ho 0.0048 0.2567 0.5000
7 Ho 0.2436 0.8755 0.0000
8 Ho 0.2564 0.3755 0.0000
9 Ho 0.4952 0.7567 0.5000
10 Ho 0.5000 0.5000 0.5000
11 Ho 0.5048 0.2433 0.5000
12 Ho 0.7436 0.6245 0.0000
13 Ho 0.7564 0.1245 0.0000
14 Ho 0.9952 0.7433 0.5000
15 Tl 0.0000 0.5000 0.5000
16 Tl 0.5000 0.0000 0.5000



A geometry-optimized HfPaCo2P2 structure. Source: Alexandria via LeMat-Bulk, functional GGA-PBE.

Computed properties:
The formation energy is -1.0708 eV/atom. The calculation puts the total DFT energy (no corrections) at -8.484 eV/atom. As for the symmetry: No. 164. The value obtained for the density of states at the Fermi level is 3.8 states/eV/f.u. The calculation puts the total magnetization at 0.0 μB/cell. For the calculated volume, the calculation gives 15.4 Å³ per atom.

abc: 3.8105 3.8105 7.3570
angles: 90.00 90.00 120.00
Fractional positions:
1 Hf 0.0000 0.0000 0.0000
2 Pa 0.0000 0.0000 0.5000
3 Co 0.3333 0.6667 0.2641
4 Co 0.6667 0.3333 0.7359
5 P 0.3333 0.6667 0.7788
6 P 0.6667 0.3333 0.2212



A geometry-optimized Li3IrF6 structure. Source: Alexandria via LeMat-Bulk, functional GGA-PBE.

Computed properties:
The calculation puts the total DFT energy (no corrections) at -4.792 eV/atom. As for the symmetry: No. 2. The value obtained for the density of states at the Fermi level is 0.0 states/eV/f.u. The calculation puts the total magnetization at 0.0 μB/cell. For the calculated volume, the calculation gives 11.4 Å³ per atom.

abc: 3.7905 6.0356 6.0357
angles: 115.72 102.02 102.15
Fractional positions:
1 Li 0.0000 0.0000 0.0000
2 Li 0.0000 0.5000 0.5000
3 Li 0.5000 0.0000 0.5000
4 Ir 0.0000 0.5000 0.0000
5 F 0.0222 0.1378 0.7684
6 F 0.2545 0.7316 0.8692
7 F 0.3847 0.6305 0.3619
8 F 0.6153 0.3695 0.6381
9 F 0.7455 0.2684 0.1308
10 F 0.9778 0.8622 0.2316



A geometry-optimized Y5Zn3 structure. Source: Alexandria via LeMat-Bulk, functional GGA-PBE.

Computed properties:
The formation energy is -0.1574 eV/atom. The calculation puts the total DFT energy (no corrections) at -4.675 eV/atom. As for the symmetry: No. 65. The value obtained for the density of states at the Fermi level is 10.4 states/eV/f.u. The calculation puts the total magnetization at 0.0 μB/cell. For the calculated volume, the calculation gives 25.4 Å³ per atom.

abc: 6.4762 6.4762 4.9633
angles: 90.00 90.00 102.80
Fractional positions:
1 Y 0.0000 0.0000 0.0000
2 Y 0.0000 0.5000 0.0000
3 Y 0.2891 0.2891 0.5000
4 Y 0.5000 0.0000 0.0000
5 Y 0.7109 0.7109 0.5000
6 Zn 0.2138 0.7862 0.5000
7 Zn 0.5000 0.5000 0.0000
8 Zn 0.7862 0.2138 0.5000



A geometry-optimized Bi5H2Pd12 structure. Source: Alexandria via LeMat-Bulk, functional GGA-PBE.

Computed properties:
The calculation puts the total DFT energy (no corrections) at -4.762 eV/atom. As for the symmetry: No. 12. The value obtained for the density of states at the Fermi level is 10.1 states/eV/f.u. The calculation puts the total magnetization at 0.0 μB/cell. For the calculated volume, the calculation gives 18.6 Å³ per atom.

abc: 7.6354 7.6354 8.7428
angles: 91.64 91.64 43.81
Fractional positions:
1 Bi 0.0000 0.0000 0.0000
2 Bi 0.2726 0.2726 0.3514
3 Bi 0.3489 0.3489 0.8384
4 Bi 0.6511 0.6511 0.1616
5 Bi 0.7274 0.7274 0.6486
6 H 0.1839 0.8161 0.5000
7 H 0.8161 0.1839 0.5000
8 Pd 0.0432 0.0432 0.6873
9 Pd 0.0723 0.5909 0.1019
10 Pd 0.1370 0.6324 0.5639
11 Pd 0.3676 0.8630 0.4361
12 Pd 0.4091 0.9277 0.8981
13 Pd 0.4666 0.4666 0.2857
14 Pd 0.5334 0.5334 0.7143
15 Pd 0.5909 0.0723 0.1019
16 Pd 0.6324 0.1370 0.5639
17 Pd 0.8630 0.3676 0.4361
18 Pd 0.9277 0.4091 0.8981
19 Pd 0.9568 0.9568 0.3127



A geometry-optimized Pm3SmPt8 structure. Source: Alexandria via LeMat-Bulk, functional GGA-PBE.

Computed properties:
The formation energy is -1.0224 eV/atom. The calculation puts the total DFT energy (no corrections) at -6.631 eV/atom. As for the symmetry: No. 156. The value obtained for the density of states at the Fermi level is 4.9 states/eV/f.u. The calculation puts the total magnetization at 0.0 μB/cell. For the calculated volume, the calculation gives 19.7 Å³ per atom.

abc: 5.5063 5.5063 9.0096
angles: 90.00 90.00 120.00
Fractional positions:
1 Pm 0.0000 0.0000 0.0000
2 Pm 0.0000 0.0000 0.3703
3 Pm 0.3333 0.6667 0.8692
4 Sm 0.3333 0.6667 0.4996
5 Pt 0.0038 0.5019 0.1851
6 Pt 0.3298 0.1649 0.6845
7 Pt 0.4981 0.5019 0.1851
8 Pt 0.4981 0.9962 0.1851
9 Pt 0.6667 0.3333 0.4349
10 Pt 0.6667 0.3333 0.9350
11 Pt 0.8351 0.1649 0.6845
12 Pt 0.8351 0.6702 0.6845



A geometry-optimized TbNd5S6 structure. Source: Alexandria via LeMat-Bulk, functional GGA-PBE.

Computed properties:
The calculation puts the total DFT energy (no corrections) at -6.461 eV/atom. As for the symmetry: No. 12. The value obtained for the density of states at the Fermi level is 4.6 states/eV/f.u. The calculation puts the total magnetization at 0.0 μB/cell. For the calculated volume, the calculation gives 23.4 Å³ per atom.

abc: 7.0185 7.0185 7.0016
angles: 99.67 99.67 120.11
Fractional positions:
1 Tb 0.0000 0.0000 0.0000
2 Nd 0.1703 0.8297 0.5000
3 Nd 0.3327 0.6673 0.0000
4 Nd 0.5000 0.5000 0.5000
5 Nd 0.6673 0.3327 0.0000
6 Nd 0.8297 0.1703 0.5000
7 S 0.0816 0.4069 0.2444
8 S 0.2432 0.2432 0.7527
9 S 0.4069 0.0816 0.2444
10 S 0.5931 0.9184 0.7556
11 S 0.7568 0.7568 0.2473
12 S 0.9184 0.5931 0.7556



A geometry-optimized Pa2TiCo3Ge4 structure. Source: Alexandria via LeMat-Bulk, functional GGA-PBE.

Computed properties:
The formation energy is -0.5298 eV/atom. The calculation puts the total DFT energy (no corrections) at -7.197 eV/atom. As for the symmetry: No. 115. The value obtained for the density of states at the Fermi level is 7.0 states/eV/f.u. The calculation puts the total magnetization at 0.0 μB/cell. For the calculated volume, the calculation gives 16.6 Å³ per atom.

abc: 3.9984 3.9984 10.3526
angles: 90.00 90.00 90.00
Fractional positions:
1 Pa 0.0000 0.5000 0.2338
2 Pa 0.5000 0.0000 0.7662
3 Ti 0.0000 0.0000 0.5000
4 Co 0.0000 0.5000 0.8739
5 Co 0.5000 0.0000 0.1261
6 Co 0.5000 0.5000 0.5000
7 Ge 0.0000 0.0000 0.0000
8 Ge 0.0000 0.5000 0.6492
9 Ge 0.5000 0.0000 0.3508
10 Ge 0.5000 0.5000 0.0000



A geometry-optimized Dy8Th2Mg structure. Source: Alexandria via LeMat-Bulk, functional GGA-PBE.

Computed properties:
The formation energy is 0.1880 eV/atom. The calculation puts the total DFT energy (no corrections) at -4.653 eV/atom. As for the symmetry: No. 65. The value obtained for the density of states at the Fermi level is 16.9 states/eV/f.u. The calculation puts the total magnetization at 0.0 μB/cell. For the calculated volume, the calculation gives 32.8 Å³ per atom.

abc: 8.2515 8.2515 5.4744
angles: 90.00 90.00 104.43
Fractional positions:
1 Dy 0.0284 0.2979 0.5000
2 Dy 0.2495 0.7505 0.0000
3 Dy 0.2979 0.0284 0.5000
4 Dy 0.3340 0.3340 0.0000
5 Dy 0.6660 0.6660 0.0000
6 Dy 0.7021 0.9716 0.5000
7 Dy 0.7505 0.2495 0.0000
8 Dy 0.9716 0.7021 0.5000
9 Th 0.3799 0.6201 0.5000
10 Th 0.6201 0.3799 0.5000
11 Mg 0.0000 0.0000 0.0000



A geometry-optimized CaLa3Tl structure. Source: Alexandria via LeMat-Bulk, functional GGA-PBE.

Computed properties:
The formation energy is 0.2357 eV/atom. The calculation puts the total DFT energy (no corrections) at -3.594 eV/atom. As for the symmetry: No. 221. The value obtained for the density of states at the Fermi level is 9.4 states/eV/f.u. The calculation puts the total magnetization at 0.1 μB/cell. For the calculated volume, the calculation gives 46.3 Å³ per atom.

abc: 6.1383 6.1383 6.1383
angles: 90.00 90.00 90.00
Fractional positions:
1 Ca 0.0000 0.0000 0.0000
2 La 0.0000 0.5000 0.5000
3 La 0.5000 0.0000 0.5000
4 La 0.5000 0.5000 0.0000
5 Tl 0.5000 0.5000 0.5000